Entry 1:
Entry from Alexandria via LeMat-Bulk: Dy2UMn2 after structural relaxation (PBE). Values from VASP.

The density of states at the Fermi level is 8.8 states/eV/cell. For the energy relative to the elements, the calculation gives -0.042 eV per atom. For the total magnetization, the calculation gives 0.00 μB/f.u. The calculation puts the calculated total energy at -7.81 eV/atom. Its volume is 20.7 A^3/atom.

Geometry as Quantum ESPRESSO input:
```
&SYSTEM
  ibrav = 0, nat = 10, ntyp = 3
/
ATOMIC_SPECIES
Mn 54.94 Mn.upf
Dy 162.50 Dy.upf
U 238.03 U.upf
ATOMIC_POSITIONS crystal
Mn 0.996 0.769 0.010
Dy 0.238 0.458 0.651
Dy 0.458 0.238 0.151
Mn 0.769 0.996 0.510
Dy 0.542 0.762 0.849
U 0.899 0.101 0.750
Mn 0.004 0.231 0.990
U 0.101 0.899 0.250
Dy 0.762 0.542 0.349
Mn 0.231 0.004 0.490
CELL_PARAMETERS angstrom
5.553 0.046 0.824
2.480 4.968 0.824
0.026 0.016 7.523
```

***

Entry 2:
Entry from Alexandria via LeMat-Bulk: DyMn2V after structural relaxation (PBE). Values from VASP.

The density of states at the Fermi level is 5.8 states/eV/cell. For the energy relative to the elements, the calculation gives 0.465 eV per atom. For the total magnetization, the calculation gives 3.82 μB/f.u. The calculation puts the calculated total energy at -7.55 eV/atom. Its volume is 16.9 A^3/atom.

Geometry as Quantum ESPRESSO input:
```
&SYSTEM
  ibrav = 0, nat = 4, ntyp = 3
/
ATOMIC_SPECIES
Mn 54.94 Mn.upf
Dy 162.50 Dy.upf
V 50.94 V.upf
ATOMIC_POSITIONS crystal
Mn 0.736 0.736 0.791
Dy 0.500 0.500 0.500
V 0.000 0.000 0.000
Mn 0.264 0.264 0.209
CELL_PARAMETERS angstrom
-0.264 -1.985 2.283
2.296 -1.878 0.652
3.843 4.441 6.325
```

***

Entry 3:
Entry from Alexandria via LeMat-Bulk: DyMnV after structural relaxation (PBE). Values from VASP.

The density of states at the Fermi level is 6.1 states/eV/cell. For the energy relative to the elements, the calculation gives 0.295 eV per atom. For the total magnetization, the calculation gives 0.43 μB/f.u. The calculation puts the calculated total energy at -7.33 eV/atom. Its volume is 18.3 A^3/atom.

Geometry as Quantum ESPRESSO input:
```
&SYSTEM
  ibrav = 0, nat = 6, ntyp = 3
/
ATOMIC_SPECIES
V 50.94 V.upf
Mn 54.94 Mn.upf
Dy 162.50 Dy.upf
ATOMIC_POSITIONS crystal
V 0.185 0.185 0.370
V 0.815 0.815 0.630
Mn 0.750 0.250 0.500
Dy 0.314 0.686 0.000
Dy 0.686 0.314 0.000
Mn 0.250 0.750 0.500
CELL_PARAMETERS angstrom
-3.257 2.979 1.973
-2.003 -2.219 -3.800
1.068 -4.054 3.882
```

***

Entry 4:
Entry from Alexandria via LeMat-Bulk: Dy2Mn16V after structural relaxation (PBE). Values from VASP.

The density of states at the Fermi level is 21.8 states/eV/cell. For the energy relative to the elements, the calculation gives -0.008 eV per atom. For the total magnetization, the calculation gives 6.11 μB/f.u. The calculation puts the calculated total energy at -8.69 eV/atom. Its volume is 13.3 A^3/atom.

Geometry as Quantum ESPRESSO input:
```
&SYSTEM
  ibrav = 0, nat = 19, ntyp = 3
/
ATOMIC_SPECIES
Mn 54.94 Mn.upf
Dy 162.50 Dy.upf
V 50.94 V.upf
ATOMIC_POSITIONS crystal
Mn 0.642 0.642 0.125
Mn 0.999 0.500 0.999
Mn 0.277 0.724 0.001
Dy 0.646 0.646 0.646
Mn 0.356 0.356 0.875
Mn 0.642 0.125 0.642
Mn 0.277 0.001 0.724
Mn 0.724 0.277 0.001
Mn 0.125 0.642 0.642
Mn 0.500 0.999 0.999
Mn 0.001 0.724 0.277
Mn 0.102 0.102 0.102
Mn 0.999 0.999 0.500
Mn 0.356 0.875 0.356
V 0.904 0.904 0.904
Mn 0.724 0.001 0.277
Mn 0.875 0.356 0.356
Dy 0.353 0.353 0.353
Mn 0.001 0.277 0.724
CELL_PARAMETERS angstrom
6.306 -0.134 0.562
0.502 6.288 0.562
-0.148 -0.134 6.329
```

***

Entry 5:
Entry from Alexandria via LeMat-Bulk: DyMnV after structural relaxation (PBE). Values from VASP.

The density of states at the Fermi level is 2.5 states/eV/cell. For the energy relative to the elements, the calculation gives 0.294 eV per atom. For the total magnetization, the calculation gives 0.00 μB/f.u. The calculation puts the calculated total energy at -7.34 eV/atom. Its volume is 19.0 A^3/atom.

Geometry as Quantum ESPRESSO input:
```
&SYSTEM
  ibrav = 0, nat = 3, ntyp = 3
/
ATOMIC_SPECIES
Mn 54.94 Mn.upf
Dy 162.50 Dy.upf
V 50.94 V.upf
ATOMIC_POSITIONS crystal
Mn 0.333 0.667 0.500
Dy 0.000 0.000 0.000
V 0.667 0.333 0.500
CELL_PARAMETERS angstrom
-1.219 -3.475 -0.692
1.702 0.777 3.247
-4.144 1.073 1.916
```

***

Entry 6:
Entry from Alexandria via LeMat-Bulk: Dy2Mn16W after structural relaxation (PBE). Values from VASP.

The density of states at the Fermi level is 20.5 states/eV/cell. For the energy relative to the elements, the calculation gives 0.016 eV per atom. For the total magnetization, the calculation gives 5.57 μB/f.u. The calculation puts the calculated total energy at -8.87 eV/atom. Its volume is 13.5 A^3/atom.

Geometry as Quantum ESPRESSO input:
```
&SYSTEM
  ibrav = 0, nat = 19, ntyp = 3
/
ATOMIC_SPECIES
Mn 54.94 Mn.upf
Dy 162.50 Dy.upf
W 183.84 W.upf
ATOMIC_POSITIONS crystal
Mn 0.639 0.125 0.639
Mn 0.355 0.875 0.355
Mn 0.279 0.003 0.723
Mn 0.499 0.000 0.000
Dy 0.642 0.642 0.642
Dy 0.353 0.353 0.353
Mn 0.000 0.000 0.499
Mn 0.723 0.003 0.279
Mn 0.003 0.723 0.279
Mn 0.000 0.499 0.000
Mn 0.723 0.279 0.003
Mn 0.105 0.105 0.105
Mn 0.279 0.723 0.003
W 0.901 0.901 0.901
Mn 0.875 0.355 0.355
Mn 0.355 0.355 0.875
Mn 0.003 0.279 0.723
Mn 0.639 0.639 0.125
Mn 0.125 0.639 0.639
CELL_PARAMETERS angstrom
-4.878 2.620 -3.140
-3.751 -5.098 0.679
-2.790 2.205 5.279
```

***

Entry 7:
Entry from Alexandria via LeMat-Bulk: DyMn4W after structural relaxation (PBE). Values from VASP.

The density of states at the Fermi level is 6.3 states/eV/cell. For the energy relative to the elements, the calculation gives 0.161 eV per atom. For the total magnetization, the calculation gives 3.84 μB/f.u. The calculation puts the calculated total energy at -8.88 eV/atom. Its volume is 14.1 A^3/atom.

Geometry as Quantum ESPRESSO input:
```
&SYSTEM
  ibrav = 0, nat = 6, ntyp = 3
/
ATOMIC_SPECIES
Dy 162.50 Dy.upf
W 183.84 W.upf
Mn 54.94 Mn.upf
ATOMIC_POSITIONS crystal
Dy 0.000 0.000 0.000
W 0.250 0.250 0.250
Mn 0.625 0.126 0.625
Mn 0.625 0.625 0.625
Mn 0.126 0.625 0.625
Mn 0.625 0.625 0.126
CELL_PARAMETERS angstrom
-2.296 0.813 4.288
-3.628 -3.003 1.462
0.714 -3.062 3.799
```

***

Entry 8:
Entry from Alexandria via LeMat-Bulk: DyY2Mn after structural relaxation (PBE). Values from VASP.

The density of states at the Fermi level is 6.0 states/eV/cell. For the energy relative to the elements, the calculation gives 0.136 eV per atom. For the total magnetization, the calculation gives 3.73 μB/f.u. The calculation puts the calculated total energy at -6.54 eV/atom. Its volume is 27.4 A^3/atom.

Geometry as Quantum ESPRESSO input:
```
&SYSTEM
  ibrav = 0, nat = 4, ntyp = 3
/
ATOMIC_SPECIES
Y 88.91 Y.upf
Mn 54.94 Mn.upf
Dy 162.50 Dy.upf
ATOMIC_POSITIONS crystal
Y 0.000 0.000 0.798
Y 0.000 0.000 0.202
Mn 0.500 0.500 0.000
Dy 0.500 0.500 0.500
CELL_PARAMETERS angstrom
-1.646 -0.825 -3.041
3.102 0.180 -1.727
1.354 -8.422 1.553
```

***

Entry 9:
Entry from Alexandria via LeMat-Bulk: DyYMn4 after structural relaxation (PBE). Values from VASP.

The density of states at the Fermi level is 9.3 states/eV/cell. For the energy relative to the elements, the calculation gives 0.155 eV per atom. For the total magnetization, the calculation gives 1.50 μB/f.u. The calculation puts the calculated total energy at -7.80 eV/atom. Its volume is 15.7 A^3/atom.

Geometry as Quantum ESPRESSO input:
```
&SYSTEM
  ibrav = 0, nat = 6, ntyp = 3
/
ATOMIC_SPECIES
Y 88.91 Y.upf
Mn 54.94 Mn.upf
Dy 162.50 Dy.upf
ATOMIC_POSITIONS crystal
Y 0.000 0.000 0.000
Mn 0.625 0.625 0.125
Dy 0.250 0.250 0.250
Mn 0.125 0.625 0.625
Mn 0.625 0.125 0.625
Mn 0.625 0.625 0.625
CELL_PARAMETERS angstrom
5.108 0.000 0.000
2.554 4.424 0.000
2.554 1.475 4.171
```

***

Entry 10:
Entry from Alexandria via LeMat-Bulk: DyYMnZn after structural relaxation (PBE). Values from VASP.

The density of states at the Fermi level is 5.1 states/eV/cell. For the energy relative to the elements, the calculation gives -0.045 eV per atom. For the total magnetization, the calculation gives 2.91 μB/f.u. The calculation puts the calculated total energy at -5.42 eV/atom. Its volume is 22.4 A^3/atom.

Geometry as Quantum ESPRESSO input:
```
&SYSTEM
  ibrav = 0, nat = 4, ntyp = 4
/
ATOMIC_SPECIES
Mn 54.94 Mn.upf
Zn 65.41 Zn.upf
Dy 162.50 Dy.upf
Y 88.91 Y.upf
ATOMIC_POSITIONS crystal
Mn 0.500 0.500 0.500
Zn 0.000 0.000 0.000
Dy 0.250 0.250 0.250
Y 0.750 0.750 0.750
CELL_PARAMETERS angstrom
5.022 0.000 0.000
2.511 4.349 0.000
2.511 1.450 4.100
```

***

Entry 11:
Entry from Alexandria via LeMat-Bulk: DyMnZn2 after structural relaxation (PBE). Values from VASP.

The density of states at the Fermi level is 3.7 states/eV/cell. For the energy relative to the elements, the calculation gives -0.080 eV per atom. For the total magnetization, the calculation gives 3.25 μB/f.u. The calculation puts the calculated total energy at -4.16 eV/atom. Its volume is 18.2 A^3/atom.

Geometry as Quantum ESPRESSO input:
```
&SYSTEM
  ibrav = 0, nat = 4, ntyp = 3
/
ATOMIC_SPECIES
Dy 162.50 Dy.upf
Zn 65.41 Zn.upf
Mn 54.94 Mn.upf
ATOMIC_POSITIONS crystal
Dy 0.500 0.500 0.500
Zn 0.000 0.000 0.201
Zn 0.000 0.000 0.799
Mn 0.500 0.500 0.000
CELL_PARAMETERS angstrom
3.294 0.000 0.000
0.000 3.294 0.000
0.000 0.000 6.712
```

***

Entry 12:
Entry from Alexandria via LeMat-Bulk: DyMnZn4 after structural relaxation (PBE). Values from VASP.

The density of states at the Fermi level is 4.4 states/eV/cell. For the energy relative to the elements, the calculation gives -0.134 eV per atom. For the total magnetization, the calculation gives 2.27 μB/f.u. The calculation puts the calculated total energy at -3.28 eV/atom. Its volume is 16.5 A^3/atom.

Geometry as Quantum ESPRESSO input:
```
&SYSTEM
  ibrav = 0, nat = 6, ntyp = 3
/
ATOMIC_SPECIES
Mn 54.94 Mn.upf
Zn 65.41 Zn.upf
Dy 162.50 Dy.upf
ATOMIC_POSITIONS crystal
Mn 0.000 0.000 0.000
Zn 0.626 0.122 0.626
Zn 0.626 0.626 0.626
Zn 0.626 0.626 0.122
Dy 0.250 0.250 0.250
Zn 0.122 0.626 0.626
CELL_PARAMETERS angstrom
-4.227 1.227 2.760
-3.672 -3.574 0.854
-0.652 -1.967 4.764
```

***

Question: Among the records above, which one has the lowest energy relative to the elements?
Answer: DyMnZn4